1.
Compound: PrHoErZr
Source: the Alexandria database
Functional: PBE
Structure: relaxed

abc: 5.519 5.519 5.519
angles: 60.00 60.00 60.00
Site moments in Bohr magnetons follow the coordinates.
Fractional positions:
Er1 0.250 0.250 0.250  0.15
Ho1 0.750 0.750 0.750  0.16
Zr1 0.500 0.500 0.500  0.57
Pr1 0.000 0.000 0.000  -0.04

uncorrected energy	-5.396	eV per atom



2.
Compound: BaLa2Pd
Source: the Alexandria database
Functional: PBE
Structure: relaxed

abc: 9.033 9.033 7.319
angles: 51.90 51.90 90.00
Fractional positions:
La1 0.375 0.450 0.750
La2 0.875 0.800 0.750
La3 0.200 0.625 0.250
La4 0.550 0.125 0.250
Pd1 0.500 0.500 0.000
Pd2 0.250 0.750 0.500
Ba1 0.750 0.250 0.500
Ba2 0.000 0.000 0.000

polymorph energy (0 for the lowest one)	0.128	eV/atom



3.
Compound: K2TlTe
Source: the Alexandria database
Functional: PBE
Structure: relaxed

abc: 5.964 5.964 5.964
angles: 60.00 60.00 60.00
Fractional positions:
K1 0.000 0.000 0.000
K2 0.250 0.250 0.250
Te1 0.500 0.500 0.500
Tl1 0.750 0.750 0.750

E_form (uncorrected)	-0.436	eV per atom
polymorph energy (0 for the lowest one)	0.145	eV/atom



4.
Compound: AgIrPd
Source: the Alexandria database
Functional: PBE
Structure: relaxed

abc: 2.791 2.791 6.988
angles: 90.00 90.00 120.00
Fractional positions:
Ir1 0.667 0.333 0.343
Ag1 0.000 0.000 0.999
Pd1 0.333 0.667 0.658

polymorph energy (0 for the lowest one)	0.000	eV/atom



5.
Compound: LuMg4In
Source: the Alexandria database
Functional: PBE
Structure: relaxed

abc: 5.928 5.928 5.928
angles: 60.00 60.00 60.00
Fractional positions:
Mg1 0.125 0.625 0.625
Mg2 0.625 0.125 0.625
Mg3 0.625 0.625 0.625
Mg4 0.625 0.625 0.125
Lu1 0.250 0.250 0.250
In1 0.000 0.000 0.000

uncorrected energy	-2.266	eV per atom



6.
Compound: NdMg2Sb
Source: the Alexandria database
Functional: PBE
Structure: relaxed

abc: 4.922 4.573 4.573
angles: 90.00 90.00 90.00
Fractional positions:
Mg1 0.000 0.000 0.500
Mg2 0.000 0.500 0.000
Sb1 0.500 0.000 0.000
Nd1 0.500 0.500 0.500

E_form (uncorrected)	-0.481	eV per atom



7.
Compound: YReTc
Source: the Alexandria database
Functional: PBE
Structure: relaxed

abc: 4.355 4.355 3.606
angles: 90.00 90.00 120.00
Fractional positions:
Tc1 0.667 0.333 0.222
Y1 0.333 0.667 0.665
Re1 0.000 0.000 0.113

polymorph energy (0 for the lowest one)	0.443	eV/atom



8.
Compound: SrTlZnHg
Source: the Alexandria database
Functional: PBE
Structure: relaxed

abc: 5.335 5.335 5.335
angles: 60.00 60.00 60.00
Fractional positions:
Zn1 0.000 0.000 0.000
Tl1 0.250 0.250 0.250
Hg1 0.500 0.500 0.500
Sr1 0.750 0.750 0.750

uncorrected energy	-1.641	eV per atom